Entry 1:
Density functional theory data (PBE) for crystalline VGaN2 at its relaxed geometry.

Values from the calculation:
The total DFT energy (no corrections) comes out at -122.23 eV per cell. Its energy relative to the elements, uncorrected is -0.440 eV per atom. The symmetry is Pna2_1 (33).

a b c (Å): 5.208 5.625 6.499
angles (deg): 90.00 90.00 90.00
Fractional positions:
N1 0.886 0.915 0.874
N2 0.886 0.415 0.626
N3 0.381 0.588 0.870
N4 0.881 0.912 0.370
N5 0.386 0.585 0.374
N6 0.881 0.412 0.130
N7 0.386 0.085 0.126
N8 0.381 0.088 0.630
V1 0.998 0.079 0.621
V2 0.498 0.921 0.379
V3 0.498 0.421 0.121
V4 0.998 0.579 0.879
Ga1 0.505 0.418 0.624
Ga2 0.505 0.918 0.876
Ga3 0.005 0.082 0.124
Ga4 0.005 0.582 0.376

---

Entry 2:
Density functional theory data (PBE) for crystalline Lu2TlSn at its relaxed geometry.

Values from the calculation:
As for the energy relative to the elements: -337 meV/atom. The total DFT energy (no corrections) comes out at -16.76 eV per cell. The value obtained for the polymorph energy (0 for the lowest one) is 67 meV per atom. The symmetry is R-3m (166).

a b c (Å): 3.698 3.698 9.492
angles (deg): 78.77 78.77 60.00
Fractional positions:
Lu1 0.749 0.749 0.754
Lu2 0.251 0.251 0.246
Tl1 0.500 0.500 0.500
Sn1 0.000 0.000 0.000

---

Entry 3:
Density functional theory data (PBE) for crystalline La2SnSbPd at its relaxed geometry.

Values from the calculation:
The total DFT energy (no corrections) comes out at -25.53 eV per cell. The value obtained for the polymorph energy (0 for the lowest one) is 0 meV per atom. Its energy relative to the elements, uncorrected is -0.471 eV per atom. The symmetry is P4/mmm (123).

a b c (Å): 5.772 5.130 5.772
angles (deg): 90.00 90.00 90.00
Fractional positions:
La1 0.500 0.000 0.000
La2 0.000 0.000 0.500
Sb1 0.000 0.500 0.000
Sn1 0.500 0.500 0.500
Pd1 0.000 0.000 0.000

---

Entry 4:
Density functional theory data (PBE) for crystalline CePa2VN4 at its relaxed geometry.

Values from the calculation:
The total DFT energy (no corrections) comes out at -156.34 eV per cell. Its energy relative to the elements, uncorrected is -1.353 eV per atom. The symmetry is Cmcm (63).

a b c (Å): 3.405 6.068 11.740
angles (deg): 90.00 90.00 106.30
Fractional positions:
N1 0.558 0.116 0.250
N2 0.000 0.000 0.000
N3 0.729 0.459 0.878
N4 0.442 0.884 0.750
N5 0.271 0.541 0.122
N6 0.729 0.459 0.622
N7 0.000 0.000 0.500
N8 0.271 0.541 0.378
Ce1 0.899 0.798 0.250
Ce2 0.101 0.202 0.750
Pa1 0.633 0.266 0.052
Pa2 0.367 0.734 0.552
Pa3 0.633 0.266 0.448
Pa4 0.367 0.734 0.948
V1 0.839 0.678 0.750
V2 0.161 0.322 0.250

---

Entry 5:
Density functional theory data (PBE) for crystalline Sr2YBI at its relaxed geometry.

Values from the calculation:
The total DFT energy (no corrections) comes out at -15.13 eV per cell. Its energy relative to the elements, uncorrected is 0.584 eV per atom. The symmetry is P4/mmm (123).

a b c (Å): 5.585 5.678 5.585
angles (deg): 90.00 90.00 90.00
Fractional positions:
Sr1 0.000 0.000 0.500
Sr2 0.500 0.000 0.000
I1 0.000 0.500 0.000
Y1 0.500 0.500 0.500
B1 0.000 0.000 0.000

---

Entry 6:
Density functional theory data (PBE) for crystalline RbBa2Pd2 at its relaxed geometry.

Values from the calculation:
As for the energy relative to the elements: -212 meV/atom. The total DFT energy (no corrections) comes out at -32.52 eV per cell. The symmetry is P4/mbm (127).

a b c (Å): 9.418 9.418 3.893
angles (deg): 90.00 90.00 90.00
Fractional positions:
Pd1 0.654 0.846 0.500
Pd2 0.846 0.346 0.500
Pd3 0.154 0.654 0.500
Pd4 0.346 0.154 0.500
Rb1 0.500 0.500 0.000
Rb2 0.000 0.000 0.000
Ba1 0.639 0.139 0.000
Ba2 0.139 0.361 0.000
Ba3 0.861 0.639 0.000
Ba4 0.361 0.861 0.000